[1]
A geometry-optimized Dy4Ho5Cd structure. Source: the Alexandria database, functional GGA-PBE.

Values from the calculation:
energy above the most stable polymorph in this dataset: 1.90 eV/f.u.
formation energy from the elements: 144 meV per atom
space group: I4mm, No. 107

a b c (Å): 5.692 7.986 7.986
angles (deg): 82.71 69.12 69.12
Fractional coordinates of all 10 atoms:
Dy 0.463 0.321 0.679
Dy 0.783 0.679 0.679
Dy 0.142 0.321 0.321
Dy 0.463 0.679 0.321
Ho 0.769 0.370 0.000
Ho 0.139 0.000 0.630
Ho 0.769 0.000 0.370
Ho 0.139 0.630 0.000
Ho 0.662 0.000 0.000
Cd 0.181 0.000 0.000

=====

[2]
A geometry-optimized Li12CaPd4 structure. Source: the Alexandria database, functional GGA-PBE.

Values from the calculation:
formation energy from the elements: -69 meV per atom
space group: Im-3, No. 204

a b c (Å): 7.614 7.614 7.614
angles (deg): 109.47 109.47 109.47
Fractional coordinates of all 17 atoms:
Li 0.828 0.345 0.173
Li 0.345 0.517 0.172
Li 0.827 0.172 0.655
Li 0.345 0.173 0.828
Li 0.173 0.828 0.345
Li 0.655 0.483 0.828
Li 0.517 0.172 0.345
Li 0.483 0.828 0.655
Li 0.655 0.827 0.172
Li 0.828 0.655 0.483
Li 0.172 0.345 0.517
Li 0.172 0.655 0.827
Ca 0.000 0.000 0.000
Pd 0.000 0.500 0.000
Pd 0.500 0.000 0.000
Pd 0.500 0.500 0.500
Pd 0.000 0.000 0.500

=====

> Among the records above, which one has the highest formation energy from the elements?

Dy4Ho5Cd